The following is a PBE calculation of GdHoBi after structural relaxation, from Alexandria.

Cell and atoms, written as POSCAR:
```
GdHoBi
1.0
5.2662 0.0000 0.0000
-2.6331 4.5606 0.0000
0.0000 0.0000 3.8784
Gd Ho Bi
1 1 1
Direct
0.0000 0.0000 0.0000
0.3333 0.6667 0.4640
0.6667 0.3333 0.7043
```

Values from the calculation:
Density = 9.47 g/cm3
Formation enthalpy at 0 K = -282.5 meV per atom
Total magnetization = 7.41 μB/f.u.